Compound: TiIr3F
Source: Alexandria
Functional: PBE
Structure: optimized geometry

a = 4.626 Å, b = 4.626 Å, c = 4.626 Å
α = 90.00°, β = 90.00°, γ = 90.00°
Atoms (fractional coordinates):
Ti: 0.000 0.000 0.000
Ir: 0.000 0.000 0.500
Ir: 0.000 0.500 0.000
Ir: 0.500 0.000 0.000
F: 0.500 0.500 0.500

Properties
Electronic total energy: -5.8517 eV per atom
ΔE_f (raw): 1.42 eV/atom